{"formula": "TlBi3N", "functional": "PBE", "state": "optimized geometry", "polymorph_energy_mev_per_atom": 0, "space_group": "P1, No. 1", "e_form_raw_ev_per_atom": 0.345, "lattice": [[5.294, 0.000, 0.000], [-0.213, 5.853, 0.000], [-2.586, -2.746, 9.216]], "species": ["Tl", "Tl", "Bi", "Bi", "Bi", "Bi", "Bi", "Bi", "N", "N"], "frac_coords": [[0.000, 0.000, 0.000], [0.076, 0.580, 0.206], [0.187, 0.255, 0.481], [0.355, 0.910, 0.732], [0.427, 0.551, 0.936], [0.633, 0.003, 0.253], [0.715, 0.673, 0.473], [0.844, 0.336, 0.720], [0.162, 0.654, 0.509], [0.766, 0.938, 0.694]]}